--- 1 ---
TiP4O12 | the Alexandria database | meta-GGA SCAN | PBEsol geometry; symmetry = Pbcn
1.0
13.0507 0.0000 0.0000
0.0000 8.0719 0.0000
0.0000 0.0000 9.1303
Ti P O
4 16 48
direct
0.0000 0.1614 0.2500
0.0000 0.8386 0.7500
0.5000 0.3386 0.7500
0.5000 0.6614 0.2500
0.1453 0.0408 0.5189
0.1453 0.9592 0.0189
0.1510 0.3242 0.0046
0.1510 0.6758 0.5046
0.3490 0.1758 0.5046
0.3490 0.8242 0.0046
0.3547 0.4592 0.0189
0.3547 0.5407 0.5189
0.6453 0.4592 0.4811
0.6453 0.5407 0.9811
0.6510 0.1758 0.9954
0.6510 0.8242 0.4954
0.8490 0.3242 0.4954
0.8490 0.6758 0.9954
0.8547 0.0408 0.9811
0.8547 0.9592 0.4811
0.0669 0.0230 0.6390
0.0669 0.9770 0.1390
0.0743 0.3079 0.1315
0.0743 0.6921 0.6315
0.1133 0.1455 0.3896
0.1133 0.8545 0.8896
0.1284 0.4263 0.8770
0.1284 0.5737 0.3770
0.1794 0.1352 0.9598
0.1794 0.8648 0.4598
0.2445 0.1209 0.5888
0.2445 0.8791 0.0888
0.2555 0.3791 0.0888
0.2555 0.6209 0.5888
0.3206 0.3648 0.4598
0.3206 0.6352 0.9598
0.3716 0.0737 0.3770
0.3716 0.9263 0.8770
0.3867 0.3545 0.8896
0.3867 0.6455 0.3896
0.4257 0.1921 0.6315
0.4257 0.8079 0.1315
0.4331 0.4770 0.1390
0.4331 0.5230 0.6390
0.5669 0.4770 0.3610
0.5669 0.5230 0.8610
0.5743 0.1921 0.8685
0.5743 0.8079 0.3685
0.6133 0.3545 0.6104
0.6133 0.6455 0.1104
0.6284 0.0737 0.1230
0.6284 0.9263 0.6230
0.6794 0.3648 0.0402
0.6794 0.6352 0.5402
0.7445 0.3791 0.4112
0.7445 0.6209 0.9112
0.7555 0.1209 0.9112
0.7555 0.8791 0.4112
0.8206 0.1352 0.5402
0.8206 0.8648 0.0402
0.8716 0.4263 0.6230
0.8716 0.5737 0.1230
0.8867 0.1455 0.1104
0.8867 0.8545 0.6104
0.9257 0.3079 0.3685
0.9257 0.6921 0.8685
0.9331 0.0230 0.8610
0.9331 0.9770 0.3610

---

--- 2 ---
TiP4O12 | the Alexandria database | meta-GGA SCAN | PBEsol geometry; symmetry = C2/c
1.0
4.0551 -5.6970 0.0000
4.0551 5.6970 0.0000
-0.8326 0.0000 9.3855
Ti P O
2 8 24
direct
0.1138 0.8862 0.7500
0.8862 0.1138 0.2500
0.2169 0.2719 0.5339
0.2719 0.2169 0.0339
0.2843 0.6356 0.9683
0.3644 0.7157 0.5317
0.6356 0.2843 0.4683
0.7157 0.3644 0.0317
0.7281 0.7831 0.9661
0.7831 0.7281 0.4661
0.0614 0.2617 0.4138
0.1384 0.1422 0.1536
0.1403 0.6638 0.8493
0.1422 0.1384 0.6536
0.2147 0.3916 0.9618
0.2617 0.0614 0.9138
0.2617 0.6986 0.3908
0.3014 0.7383 0.1092
0.3152 0.4962 0.6026
0.3362 0.8597 0.6507
0.3916 0.2147 0.4618
0.4962 0.3152 0.1026
0.5038 0.6848 0.8974
0.6084 0.7853 0.5382
0.6638 0.1403 0.3493
0.6848 0.5038 0.3974
0.6986 0.2617 0.8908
0.7383 0.3014 0.6092
0.7383 0.9386 0.0862
0.7853 0.6084 0.0382
0.8578 0.8616 0.3464
0.8597 0.3362 0.1507
0.8616 0.8578 0.8464
0.9386 0.7383 0.5862

---

Which structure is the most stable? The one labeled 1.

---

--- 1 ---
Y2TlPO | the Alexandria database | meta-GGA SCAN | PBEsol geometry; symmetry = P4/mmm
1.0
5.6282 0.0000 0.0000
0.0000 5.6282 0.0000
0.0000 0.0000 4.6992
Y Tl P O
2 1 1 1
direct
0.0000 0.5000 0.0000
0.5000 0.0000 0.0000
0.0000 0.0000 0.0000
0.0000 0.0000 0.5000
0.5000 0.5000 0.5000

---

--- 2 ---
Y2TlPO | the Alexandria database | meta-GGA SCAN | PBEsol geometry; symmetry = P4/mmm
1.0
5.1913 0.0000 0.0000
0.0000 5.1913 0.0000
0.0000 0.0000 4.8559
Y Tl P O
2 1 1 1
direct
0.0000 0.5000 0.0000
0.5000 0.0000 0.0000
0.0000 0.0000 0.5000
0.0000 0.0000 0.0000
0.5000 0.5000 0.5000

---

Which structure is the most stable? The one labeled 2.

---

--- 1 ---
Tm2P4O13 | the Alexandria database | meta-GGA SCAN | PBEsol geometry; symmetry = P2_1/c
1.0
8.9117 0.0000 0.0000
0.0000 9.2869 0.0000
-4.1523 0.0000 13.0750
Tm P O
8 16 52
direct
0.0262 0.0023 0.2174
0.0262 0.4977 0.7174
0.4404 0.0040 0.2254
0.4404 0.4960 0.7254
0.5596 0.5040 0.2746
0.5596 0.9960 0.7746
0.9738 0.5023 0.2826
0.9738 0.9977 0.7826
0.1697 0.2307 0.4394
0.1697 0.2693 0.9394
0.2195 0.1992 0.6604
0.2195 0.3008 0.1604
0.2851 0.7392 0.3415
0.2851 0.7608 0.8415
0.4883 0.7394 0.0565
0.4883 0.7606 0.5565
0.5117 0.2394 0.4435
0.5117 0.2606 0.9435
0.7149 0.2392 0.1585
0.7149 0.2608 0.6585
0.7805 0.6992 0.8396
0.7805 0.8008 0.3396
0.8303 0.7307 0.0606
0.8303 0.7693 0.5606
0.0734 0.1339 0.9158
0.0734 0.3661 0.4158
0.1170 0.1181 0.7110
0.1170 0.3819 0.2110
0.1321 0.1143 0.3606
0.1321 0.3857 0.8606
0.1332 0.6742 0.3481
0.1332 0.8258 0.8481
0.1512 0.1604 0.5407
0.1512 0.3396 0.0407
0.2096 0.1340 0.1681
0.2096 0.3660 0.6681
0.2529 0.6313 0.7667
0.2529 0.8687 0.2667
0.3517 0.2226 0.9700
0.3517 0.2774 0.4700
0.3747 0.6852 0.9497
0.3747 0.8148 0.4497
0.3903 0.1535 0.6954
0.3903 0.3465 0.1954
0.3944 0.6300 0.3184
0.3944 0.8700 0.8184
0.4245 0.6244 0.5876
0.4245 0.8756 0.0876
0.4838 0.1143 0.3716
0.4838 0.3857 0.8716
0.5162 0.6143 0.1284
0.5162 0.8857 0.6284
0.5755 0.1244 0.9124
0.5755 0.3756 0.4124
0.6056 0.1300 0.1816
0.6056 0.3700 0.6816
0.6097 0.6535 0.8046
0.6097 0.8465 0.3046
0.6253 0.1852 0.5503
0.6253 0.3148 0.0503
0.6483 0.7226 0.5300
0.6483 0.7774 0.0300
0.7471 0.1313 0.7333
0.7471 0.3687 0.2333
0.7904 0.6340 0.3319
0.7904 0.8660 0.8319
0.8488 0.6604 0.9593
0.8488 0.8396 0.4593
0.8668 0.1742 0.1519
0.8668 0.3258 0.6519
0.8679 0.6143 0.1394
0.8679 0.8857 0.6394
0.8830 0.6181 0.7890
0.8830 0.8819 0.2890
0.9266 0.6339 0.5842
0.9266 0.8661 0.0842

---

--- 2 ---
Tm2P4O13 | the Alexandria database | meta-GGA SCAN | PBEsol geometry; symmetry = C2/c
1.0
5.8730 -3.3350 0.0000
5.8730 3.3350 0.0000
-3.7590 0.0000 12.1743
Tm P O
4 8 26
direct
0.1895 0.1954 0.0474
0.1954 0.1895 0.5474
0.8046 0.8105 0.4526
0.8105 0.8046 0.9526
0.2511 0.2721 0.3375
0.2721 0.2511 0.8375
0.3295 0.6459 0.1325
0.3541 0.6705 0.3675
0.6459 0.3295 0.6325
0.6705 0.3541 0.8675
0.7279 0.7489 0.1625
0.7489 0.7279 0.6625
0.0491 0.4211 0.4040
0.0728 0.4224 0.9038
0.1608 0.8220 0.0550
0.1780 0.8392 0.4450
0.1877 0.1984 0.2177
0.1984 0.1877 0.7177
0.2419 0.7581 0.2500
0.3729 0.4004 0.1011
0.3815 0.4178 0.3454
0.4004 0.3729 0.6011
0.4178 0.3815 0.8454
0.4211 0.0491 0.9040
0.4224 0.0728 0.4038
0.5776 0.9272 0.5962
0.5789 0.9509 0.0960
0.5822 0.6185 0.1546
0.5996 0.6271 0.3989
0.6185 0.5822 0.6546
0.6271 0.5996 0.8989
0.7581 0.2419 0.7500
0.8016 0.8123 0.2823
0.8123 0.8016 0.7823
0.8220 0.1608 0.5550
0.8392 0.1780 0.9450
0.9272 0.5776 0.0962
0.9509 0.5789 0.5960

---

Which structure is the most stable? The one labeled 1.